The following is a PBE calculation of a relaxed KLaBe crystal, from Alexandria.

Cell: 5.233 5.233 5.233 Å, 60.00 60.00 60.00°
Fractional positions:
Be: 0.750 0.750 0.750
K: 0.000 0.000 0.000
La: 0.500 0.500 0.500

Results
Total magnetization, Bohr magnetons per cell: 0.0
Symmetry: F-43m (216)
Polymorph energy (0 for the lowest one), eV per atom: 0.3295
ΔE_f, eV/atom: 0.82
N(E_F), states/eV/f.u.: 5.66
Final energy, eV/atom: -2.430